The following is a GGA-PBE calculation of a geometry-optimized YSiSn2 structure, from Alexandria via LeMat-Bulk.

a b c (Å): 8.2079 8.2079 6.0155
angles (deg): 90.00 90.00 90.00
Last column: nearest neighbours and their distance in Å.
Space group I-42d (No. 122)
Symmetry-distinct sites (fractional):
Y: 0.0000 0.0000 0.0000  2 Si 3.01, 4 Sn 3.25
Si: 0.0000 0.0000 0.5000  4 Sn 2.76, 2 Y 3.01
Sn: 0.2063 0.7500 0.6250  2 Si 2.76, 2 Sn 3.09

Results
crystal system: tetragonal
DOS at the Fermi energy: 13.03 states/eV/cell
ΔE_f (raw): -0.1577 eV/atom
total magnetic moment: 0.00 μB per formula unit

---

The following is a GGA-PBE calculation of a geometry-optimized Ca2MgSi structure, from Alexandria via LeMat-Bulk.

a b c (Å): 3.3721 5.2069 12.6494
angles (deg): 90.00 90.00 90.00
Last column: nearest neighbours and their distance in Å.
Space group Imm2 (No. 44)
Symmetry-distinct sites (fractional):
Ca: 0.0000 0.0000 0.0000  2 Si 3.05, 2 Ca 3.37
Ca: 0.0000 0.5000 0.1959  4 Si 3.10, 2 Ca 3.37
Mg: 0.0000 0.0000 0.3795  2 Si 2.82
Si: 0.0000 0.5000 0.7012  2 Mg 2.82, 6 Ca 3.05-3.10

Results
crystal system: orthorhombic
DOS at the Fermi energy: 3.84 states/eV/cell
ΔE_f (raw): -0.1547 eV/atom
total magnetic moment: 0.00 μB per formula unit

---

The following is a GGA-PBE calculation of a geometry-optimized CsNa2MoI8 structure, from Alexandria via LeMat-Bulk.

a b c (Å): 6.5767 7.5401 10.6611
angles (deg): 90.05 90.27 90.42
Last column: nearest neighbours and their distance in Å.
Space group P-1 (No. 2)
Symmetry-distinct sites (fractional):
Cs: 0.0000 0.0000 0.0000  8 I 3.85-4.18
Na: 0.5004 0.4996 0.2877  6 I 3.21-3.48
Mo: 0.0000 0.0000 0.5000  6 I 2.78-2.79
I: 0.2242 0.3159 0.4993  1 Mo 2.79
I: 0.2450 0.8594 0.3133  1 Mo 2.78
I: 0.2474 0.8616 0.6877  1 Mo 2.78
I: 0.2505 0.4924 0.0000  2 I 3.28-3.30, 2 Na 3.47-3.48

Results
crystal system: triclinic
DOS at the Fermi energy: 5.72 states/eV/cell
ΔE_f (raw): -0.6768 eV/atom
total magnetic moment: 2.13 μB per formula unit

---

The following is a GGA-PBE calculation of a geometry-optimized CaAs2Pb structure, from Alexandria via LeMat-Bulk.

a b c (Å): 4.3009 4.3009 10.6354
angles (deg): 90.00 90.00 90.00
Last column: nearest neighbours and their distance in Å.
Space group I-4m2 (No. 119)
Symmetry-distinct sites (fractional):
Ca: 0.0000 0.0000 0.0000  4 As 3.04
As: 0.0000 0.0000 0.5000  4 Ca 3.04
As: 0.0000 0.5000 0.2500  4 Pb 3.04
Pb: 0.0000 0.5000 0.7500  4 As 3.04

Results
crystal system: tetragonal
DOS at the Fermi energy: 4.69 states/eV/cell
total magnetic moment: 0.00 μB per formula unit
energy of formation from the pure elements: -0.33 eV/atom

---

Number 1: raw total energy -0.189 Ha/atom. Number 2: raw total energy -0.107 Ha/atom. Number 3: raw total energy -0.107 Ha/atom. Number 4: raw total energy -0.150 Ha/atom.